# 1
A relaxed structure of FeTeRh, computed with PBE-GGA.

distance to the lowest polymorph of the same formula = 0 meV/atom
E = -6.319 eV/atom
size of the total moment = 3.96 μB/f.u.
crystal system = cubic
ΔE_f (raw) = 0.000 eV/atom
space group = No. 216

Cell lengths 4.323, 4.323, 4.323 Å; angles 60.00, 60.00, 60.00 degrees
Site moments in Bohr magnetons follow the coordinates.
Atoms (fractional coordinates):
Fe (0.500, 0.500, 0.500)  3.18
Te (0.000, 0.000, 0.000)  0.06
Rh (0.750, 0.750, 0.750)  0.56

=====

# 2
A relaxed structure of La2Ho3Ir2, computed with PBE-GGA.

calculated formation energy = -0.612 eV/atom
E = -6.513 eV/atom
size of the total moment = 0.00 μB/f.u.
crystal system = monoclinic
space group = No. 12

Cell lengths 3.847, 6.480, 8.647 Å; angles 72.79, 77.15, 72.73 degrees
Atoms (fractional coordinates):
Ho (0.621, 0.184, 0.573)
La (0.832, 0.532, 0.804)
Ir (0.826, 0.105, 0.243)
Ho (0.500, 0.000, 0.000)
Ho (0.379, 0.816, 0.427)
Ir (0.174, 0.895, 0.757)
La (0.168, 0.468, 0.196)

=====

# 3
A relaxed structure of LiHgIO2, computed with PBE-GGA.

distance to the lowest polymorph of the same formula = 0 meV/atom
E = -2.768 eV/atom
size of the total moment = 1.29 μB/f.u.
crystal system = tetragonal
ΔE_f (raw) = -0.032 eV/atom
space group = No. 123

Cell lengths 4.192, 4.192, 6.895 Å; angles 90.00, 90.00, 90.00 degrees
Site moments in Bohr magnetons follow the coordinates.
Atoms (fractional coordinates):
Hg (0.000, 0.000, 0.000)  0.07
I (0.000, 0.000, 0.500)  0.02
Li (0.500, 0.500, 0.500)  0.00
O (0.500, 0.000, 0.000)  0.50
O (0.000, 0.500, 0.000)  0.50

=====

# 4
A relaxed structure of Ac2NiAs4Pd3, computed with PBE-GGA.

calculated formation energy = -0.873 eV/atom
E = -5.691 eV/atom
size of the total moment = 0.00 μB/f.u.
crystal system = tetragonal
space group = No. 115

Cell lengths 4.511, 4.511, 10.006 Å; angles 90.00, 90.00, 90.00 degrees
Atoms (fractional coordinates):
Pd (0.500, 0.000, 0.879)
Pd (0.000, 0.500, 0.121)
Ac (0.000, 0.500, 0.745)
Ni (0.500, 0.500, 0.500)
As (0.000, 0.500, 0.377)
As (0.500, 0.500, 0.000)
As (0.000, 0.000, 0.000)
Pd (0.000, 0.000, 0.500)
Ac (0.500, 0.000, 0.255)
As (0.500, 0.000, 0.623)

=====

# 5
A relaxed structure of Be2NbTc, computed with PBE-GGA.

calculated formation energy = -0.021 eV/atom
E = -6.993 eV/atom
size of the total moment = 0.00 μB/f.u.
crystal system = cubic
space group = No. 225

Cell lengths 4.112, 4.112, 4.112 Å; angles 60.00, 60.00, 60.00 degrees
Atoms (fractional coordinates):
Be (0.250, 0.250, 0.250)
Nb (0.000, 0.000, 0.000)
Be (0.750, 0.750, 0.750)
Tc (0.500, 0.500, 0.500)

=====

# 6
A relaxed structure of Sr2CaFe, computed with PBE-GGA.

calculated formation energy = 0.590 eV/atom
distance to the lowest polymorph of the same formula = 200 meV/atom
E = -2.867 eV/atom
size of the total moment = 2.30 μB/f.u.
crystal system = tetragonal
space group = No. 139

Cell lengths 6.263, 6.263, 6.263 Å; angles 129.14, 129.14, 74.78 degrees
Site moments in Bohr magnetons follow the coordinates.
Atoms (fractional coordinates):
Fe (0.750, 0.250, 0.500)  2.98
Ca (0.250, 0.750, 0.500)  -0.08
Sr (0.000, 0.000, 0.000)  -0.07
Sr (0.500, 0.500, 0.000)  -0.07

=====

# 7
A relaxed structure of LiEr3Ru2, computed with PBE-GGA.

calculated formation energy = -0.342 eV/atom
E = -6.035 eV/atom
size of the total moment = 0.00 μB/f.u.
crystal system = tetragonal
space group = No. 123

Cell lengths 3.387, 3.387, 11.331 Å; angles 90.00, 90.00, 90.00 degrees
Atoms (fractional coordinates):
Er (0.000, 0.000, 0.292)
Er (0.000, 0.000, 0.708)
Er (0.000, 0.000, 0.000)
Li (0.500, 0.500, 0.500)
Ru (0.500, 0.500, 0.844)
Ru (0.500, 0.500, 0.156)

=====

# 8
A relaxed structure of KTeH2Cl8, computed with PBE-GGA.

E = -2.881 eV/atom
size of the total moment = 0.00 μB/f.u.
crystal system = triclinic
space group = No. 2

Cell lengths 6.951, 7.022, 8.948 Å; angles 106.33, 81.94, 110.93 degrees
Atoms (fractional coordinates):
Cl (0.324, 0.302, 0.997)
Cl (0.676, 0.698, 0.003)
H (0.578, 0.709, 0.254)
Cl (0.531, 0.708, 0.401)
Cl (0.112, 0.795, 0.751)
Cl (0.469, 0.292, 0.599)
Cl (0.888, 0.205, 0.249)
K (0.000, 0.000, 0.500)
Cl (0.833, 0.145, 0.853)
H (0.422, 0.291, 0.746)
Cl (0.167, 0.855, 0.147)
Te (0.000, 0.000, 0.000)

=====

# 9
A relaxed structure of CdSiP2, computed with PBE-GGA.

distance to the lowest polymorph of the same formula = 436 meV/atom
E = -4.053 eV/atom
size of the total moment = 0.00 μB/f.u.
crystal system = trigonal
ΔE_f (raw) = 0.236 eV/atom
space group = No. 160

Cell lengths 7.186, 7.186, 7.186 Å; angles 27.70, 27.70, 27.70 degrees
Atoms (fractional coordinates):
P (0.985, 0.985, 0.985)
Si (0.514, 0.514, 0.514)
Cd (0.750, 0.750, 0.750)
P (0.251, 0.251, 0.251)

=====

# 10
A relaxed structure of LiSiAs, computed with PBE-GGA.

distance to the lowest polymorph of the same formula = 333 meV/atom
E = -3.874 eV/atom
size of the total moment = 0.00 μB/f.u.
crystal system = tetragonal
ΔE_f (raw) = 0.122 eV/atom
space group = No. 107

Cell lengths 6.143, 6.143, 6.143 Å; angles 152.88, 152.88, 38.73 degrees
Atoms (fractional coordinates):
Si (0.672, 0.672, 0.000)
Li (0.332, 0.332, 0.000)
As (0.995, 0.995, 0.000)

=====

# 11
A relaxed structure of Cs2Hg6PdPb, computed with PBE-GGA.

calculated formation energy = -0.184 eV/atom
E = -1.426 eV/atom
size of the total moment = 0.00 μB/f.u.
crystal system = trigonal
space group = No. 164

Cell lengths 6.808, 7.481, 7.481 Å; angles 120.00, 90.00, 90.00 degrees
Atoms (fractional coordinates):
Hg (0.824, 0.193, 0.807)
Cs (0.674, 0.667, 0.333)
Cs (0.326, 0.333, 0.667)
Pd (0.000, 0.000, 0.000)
Hg (0.176, 0.807, 0.193)
Hg (0.176, 0.387, 0.193)
Hg (0.824, 0.193, 0.387)
Pb (0.500, 0.000, 0.000)
Hg (0.176, 0.807, 0.613)
Hg (0.824, 0.613, 0.807)

=====

# 12
A relaxed structure of GdTm4Lu, computed with PBE-GGA.

calculated formation energy = 0.242 eV/atom
E = -5.839 eV/atom
size of the total moment = 8.69 μB/f.u.
crystal system = cubic
space group = No. 216

Cell lengths 6.483, 6.483, 6.483 Å; angles 60.00, 60.00, 60.00 degrees
Site moments in Bohr magnetons follow the coordinates.
Atoms (fractional coordinates):
Gd (0.250, 0.250, 0.250)  7.46
Lu (0.000, 0.000, 0.000)  -0.04
Tm (0.625, 0.124, 0.625)  0.11
Tm (0.625, 0.625, 0.625)  0.11
Tm (0.124, 0.625, 0.625)  0.11
Tm (0.625, 0.625, 0.124)  0.11

=====

# 13
A relaxed structure of Dy3Ga6Cu5, computed with PBE-GGA.

calculated formation energy = -0.437 eV/atom
E = -4.184 eV/atom
size of the total moment = 0.00 μB/f.u.
crystal system = orthorhombic
space group = No. 59

Cell lengths 4.243, 9.027, 12.541 Å; angles 90.00, 90.00, 90.00 degrees
Atoms (fractional coordinates):
Ga (0.500, 0.393, 0.835)
Ga (0.000, 0.607, 0.335)
Ga (0.500, 0.026, 0.353)
Cu (0.000, 0.532, 0.130)
Cu (0.500, 0.468, 0.630)
Cu (0.500, 0.468, 0.370)
Ga (0.500, 0.026, 0.647)
Cu (0.500, 0.118, 0.155)
Ga (0.000, 0.974, 0.147)
Dy (0.500, 0.747, 0.500)
Cu (0.500, 0.118, 0.845)
Cu (0.000, 0.759, 0.000)
Cu (0.000, 0.882, 0.345)
Dy (0.000, 0.251, 0.704)
Ga (0.500, 0.944, 0.000)
Dy (0.000, 0.251, 0.296)
Cu (0.000, 0.882, 0.655)
Ga (0.500, 0.572, 0.000)
Dy (0.000, 0.253, 0.000)
Cu (0.000, 0.532, 0.870)
Cu (0.500, 0.241, 0.500)
Ga (0.000, 0.056, 0.500)
Dy (0.500, 0.749, 0.796)
Ga (0.000, 0.607, 0.665)
Dy (0.500, 0.749, 0.204)
Ga (0.000, 0.974, 0.853)
Ga (0.000, 0.428, 0.500)
Ga (0.500, 0.393, 0.165)

=====

# 14
A relaxed structure of PrErTmHg, computed with PBE-GGA.

calculated formation energy = -0.058 eV/atom
distance to the lowest polymorph of the same formula = 179 meV/atom
E = -3.587 eV/atom
size of the total moment = 0.01 μB/f.u.
crystal system = cubic
space group = No. 216

Cell lengths 5.450, 5.450, 5.450 Å; angles 60.00, 60.00, 60.00 degrees
Atoms (fractional coordinates):
Er (0.000, 0.000, 0.000)
Pr (0.500, 0.500, 0.500)
Hg (0.250, 0.250, 0.250)
Tm (0.750, 0.750, 0.750)

=====

# 15
A relaxed structure of Ba2Hg4BiAu3, computed with PBE-GGA.

calculated formation energy = -0.406 eV/atom
E = -2.282 eV/atom
size of the total moment = 0.00 μB/f.u.
crystal system = tetragonal
space group = No. 115

Cell lengths 4.762, 4.762, 12.618 Å; angles 90.00, 90.00, 90.00 degrees
Atoms (fractional coordinates):
Au (0.000, 0.000, 0.500)
Au (0.500, 0.000, 0.867)
Ba (0.000, 0.500, 0.762)
Bi (0.500, 0.500, 0.500)
Ba (0.500, 0.000, 0.238)
Hg (0.500, 0.500, 0.000)
Hg (0.000, 0.500, 0.353)
Au (0.000, 0.500, 0.133)
Hg (0.500, 0.000, 0.647)
Hg (0.000, 0.000, 0.000)

=====

# 16
A relaxed structure of Ce2YTl3S6, computed with PBE-GGA.

E = -5.610 eV/atom
size of the total moment = 2.02 μB/f.u.
crystal system = monoclinic
ΔE_f (raw) = -1.427 eV/atom
space group = No. 12

Cell lengths 7.176, 7.176, 7.864 Å; angles 98.75, 98.75, 119.98 degrees
Site moments in Bohr magnetons follow the coordinates.
Atoms (fractional coordinates):
Tl (0.500, 0.500, 0.500)  0.00
Tl (0.834, 0.166, 0.500)  0.00
S (0.067, 0.393, 0.200)  -0.01
Tl (0.166, 0.834, 0.500)  0.00
Y (0.000, 0.000, 0.000)  0.02
S (0.393, 0.067, 0.200)  -0.01
S (0.933, 0.607, 0.800)  -0.01
Ce (0.667, 0.333, 0.000)  0.92
S (0.741, 0.741, 0.201)  -0.01
S (0.259, 0.259, 0.799)  -0.01
S (0.607, 0.933, 0.800)  -0.01
Ce (0.333, 0.667, 0.000)  0.92

=====

# 17
A relaxed structure of Rb3SBr, computed with PBE-GGA.

distance to the lowest polymorph of the same formula = 0 meV/atom
E = -3.010 eV/atom
size of the total moment = 0.08 μB/f.u.
crystal system = orthorhombic
ΔE_f (raw) = -1.269 eV/atom
space group = No. 62

Cell lengths 4.960, 8.740, 19.100 Å; angles 90.00, 90.00, 90.00 degrees
Atoms (fractional coordinates):
Rb (0.750, 0.854, 0.205)
Rb (0.750, 0.354, 0.295)
Br (0.750, 0.346, 0.703)
Rb (0.750, 0.985, 0.589)
S (0.750, 0.738, 0.046)
Br (0.750, 0.846, 0.797)
Br (0.250, 0.154, 0.203)
Rb (0.750, 0.485, 0.911)
S (0.250, 0.762, 0.546)
Rb (0.250, 0.646, 0.705)
S (0.250, 0.262, 0.954)
S (0.750, 0.238, 0.454)
Br (0.250, 0.654, 0.297)
Rb (0.250, 0.146, 0.795)
Rb (0.250, 0.370, 0.548)
Rb (0.750, 0.630, 0.452)
Rb (0.250, 0.515, 0.089)
Rb (0.250, 0.870, 0.952)
Rb (0.250, 0.015, 0.411)
Rb (0.750, 0.130, 0.048)

=====

# 18
A relaxed structure of CeCuAs2Rh5, computed with PBE-GGA.

calculated formation energy = -0.282 eV/atom
E = -6.514 eV/atom
size of the total moment = 0.74 μB/f.u.
crystal system = tetragonal
space group = No. 123

Cell lengths 4.038, 4.038, 10.356 Å; angles 90.00, 90.00, 90.00 degrees
Site moments in Bohr magnetons follow the coordinates.
Atoms (fractional coordinates):
Rh (0.500, 0.000, 0.854)  -0.01
Rh (0.000, 0.500, 0.146)  -0.01
Rh (0.000, 0.500, 0.854)  -0.01
Rh (0.500, 0.000, 0.146)  -0.01
Rh (0.500, 0.500, 0.500)  -0.05
Ce (0.000, 0.000, 0.500)  0.74
As (0.500, 0.500, 0.269)  0.00
As (0.500, 0.500, 0.731)  0.00
Cu (0.000, 0.000, 0.000)  -0.01

=====

# 19
A relaxed structure of Na2AlCr, computed with PBE-GGA.

calculated formation energy = 0.708 eV/atom
distance to the lowest polymorph of the same formula = 30 meV/atom
E = -3.293 eV/atom
size of the total moment = 4.59 μB/f.u.
crystal system = tetragonal
space group = No. 122

Cell lengths 8.492, 8.492, 6.609 Å; angles 50.02, 50.02, 90.00 degrees
Site moments in Bohr magnetons follow the coordinates.
Atoms (fractional coordinates):
Na (0.623, 0.125, 0.250)  0.00
Na (0.875, 0.873, 0.750)  0.00
Na (0.375, 0.377, 0.750)  0.00
Na (0.127, 0.625, 0.250)  0.00
Al (0.500, 0.500, 0.000)  -0.03
Cr (0.000, 0.000, 0.000)  3.98
Al (0.250, 0.750, 0.500)  -0.03
Cr (0.750, 0.250, 0.500)  3.98

=====

# 20
A relaxed structure of Th6AsOs2S3, computed with PBE-GGA.

E = -8.234 eV/atom
size of the total moment = 0.00 μB/f.u.
crystal system = monoclinic
ΔE_f (raw) = -1.233 eV/atom
space group = No. 12

Cell lengths 7.195, 7.195, 7.281 Å; angles 99.53, 99.53, 119.91 degrees
Atoms (fractional coordinates):
Th (0.081, 0.430, 0.238)
Th (0.273, 0.273, 0.766)
Os (0.332, 0.668, 0.000)
Th (0.430, 0.081, 0.238)
S (0.843, 0.157, 0.500)
Th (0.570, 0.919, 0.762)
Th (0.919, 0.570, 0.762)
S (0.157, 0.843, 0.500)
Th (0.727, 0.727, 0.234)
Os (0.668, 0.332, 0.000)
As (0.000, 0.000, 0.000)
S (0.500, 0.500, 0.500)

=====

# 21
A relaxed structure of Tb2YHo8, computed with PBE-GGA.

calculated formation energy = 0.163 eV/atom
distance to the lowest polymorph of the same formula = 45 meV/atom
E = -4.596 eV/atom
size of the total moment = 0.00 μB/f.u.
crystal system = monoclinic
space group = No. 12

Cell lengths 5.532, 10.035, 10.035 Å; angles 40.47, 92.68, 92.68 degrees
Atoms (fractional coordinates):
Ho (0.236, 0.546, 0.546)
Tb (0.251, 0.716, 0.716)
Y (0.000, 0.000, 0.000)
Ho (0.267, 0.135, 0.602)
Ho (0.767, 0.813, 0.813)
Ho (0.764, 0.454, 0.454)
Ho (0.233, 0.187, 0.187)
Ho (0.733, 0.398, 0.865)
Ho (0.267, 0.602, 0.135)
Ho (0.733, 0.865, 0.398)
Tb (0.749, 0.284, 0.284)

=====

# 22
A relaxed structure of BeVMoIr, computed with PBE-GGA.

calculated formation energy = -0.221 eV/atom
E = -8.356 eV/atom
size of the total moment = 0.00 μB/f.u.
crystal system = cubic
space group = No. 216

Cell lengths 4.198, 4.198, 4.198 Å; angles 60.00, 60.00, 60.00 degrees
Atoms (fractional coordinates):
V (0.750, 0.750, 0.750)
Mo (0.500, 0.500, 0.500)
Be (0.250, 0.250, 0.250)
Ir (0.000, 0.000, 0.000)

=====

# 23
A relaxed structure of Rb3CeTm3Se8, computed with PBE-GGA.

E = -5.057 eV/atom
size of the total moment = 0.00 μB/f.u.
crystal system = trigonal
ΔE_f (raw) = -1.716 eV/atom
space group = No. 166

Cell lengths 8.333, 8.334, 9.445 Å; angles 116.22, 90.00, 120.00 degrees
Atoms (fractional coordinates):
Se (0.232, 0.464, 0.691)
Se (0.731, 0.461, 0.692)
Se (0.269, 0.539, 0.308)
Tm (0.000, 0.500, 0.500)
Tm (0.500, 0.000, 0.500)
Rb (0.500, 0.500, 0.000)
Ce (0.000, 0.000, 0.500)
Rb (0.000, 0.000, 0.000)
Tm (0.500, 0.500, 0.500)
Se (0.727, 0.959, 0.691)
Se (0.768, 0.536, 0.309)
Se (0.273, 0.041, 0.309)
Se (0.768, 0.041, 0.309)
Rb (0.000, 0.500, 0.000)
Se (0.232, 0.959, 0.691)

=====

# 24
A relaxed structure of ErThZnRu, computed with PBE-GGA.

calculated formation energy = -0.341 eV/atom
E = -5.974 eV/atom
size of the total moment = 0.00 μB/f.u.
crystal system = cubic
space group = No. 216

Cell lengths 5.002, 5.002, 5.002 Å; angles 60.00, 60.00, 60.00 degrees
Atoms (fractional coordinates):
Zn (0.250, 0.250, 0.250)
Th (0.500, 0.500, 0.500)
Ru (0.750, 0.750, 0.750)
Er (0.000, 0.000, 0.000)